(1)
InCoHg2: optimized geometry, GGA-PBE.

Its volume is 250.5 Å³/cell. Its energy relative to the elements is 0.3548 eV per atom.

The structure belongs to space group R-3m (No. 166, hexagonal axes); the cell edges are 3.2280, 3.2280 and 27.7600 Å and the angles 90.00°, 90.00° and 120.00°. The inequivalent atoms are In at (0.0000, 0.0000, 0.0000), Co at (0.0000, 0.0000, 0.5000) and Hg at (0.0000, 0.0000, 0.2388).

=====

(2)
LaGdYHg: optimized geometry, GGA-PBE.

Its volume is 475.5 Å³/cell. Its energy relative to the elements is -0.0934 eV per atom.

The structure belongs to space group F-43m (No. 216); the cell edges are 7.8051, 7.8051 and 7.8051 Å and the angles 90.00°, 90.00° and 90.00°. The inequivalent atoms are La at (0.0000, 0.0000, 0.0000), Gd at (0.2500, 0.2500, 0.2500), Y at (0.0000, 0.0000, 0.5000) and Hg at (0.2500, 0.2500, 0.7500).

=====

(3)
TlOsRu: optimized geometry, GGA-PBE.

For the excess energy over the best structure of this formula in the dataset, the calculation gives 0.392 eV per atom. Its volume is 231.0 Å³/cell. Its energy relative to the elements is 0.9242 eV per atom.

The structure belongs to space group F-43m (No. 216); the cell edges are 6.1361, 6.1361 and 6.1361 Å and the angles 90.00°, 90.00° and 90.00°. The inequivalent atoms are Tl at (0.0000, 0.0000, 0.0000), Os at (0.0000, 0.0000, 0.5000) and Ru at (0.2500, 0.2500, 0.7500).

=====

(4)
Ce3ErS: optimized geometry, GGA-PBE.

Its volume is 154.1 Å³/cell. The calculation puts the energy relative to the elements, uncorrected at -0.5457 eV/atom.

The structure belongs to space group Pm-3m (No. 221); the cell edges are 5.3611, 5.3611 and 5.3611 Å and the angles 90.00°, 90.00° and 90.00°. The inequivalent atoms are Ce at (0.0000, 0.0000, 0.5000), Er at (0.5000, 0.5000, 0.5000) and S at (0.0000, 0.0000, 0.0000).